# HoTlTeO6

An optimized crystal structure of HoTlTeO6 (PBE, Alexandria via LeMat-Bulk).

Results
**Formation energy from raw total energies**: -1.65 eV/atom
**Calculated volume**: 13.98 Å³/atom
**DFT total energy**: -0.2233 Ha/atom
**Space group**: P4_2nm (102)
**Total magnetization**: 0.000 μB per cell

```
18
Lattice="5.0093 0.0000 0.0000 0.0000 5.0093 0.0000 0.0000 0.0000 10.0261" Properties=species:S:1:pos:R:3 pbc="T T T"
Ho 0.0000 0.0000 0.0000
Ho 2.5047 2.5047 5.0130
Tl 0.0000 0.0000 6.7361
Tl 2.5047 2.5047 1.7231
Te 0.0000 0.0000 3.3825
Te 2.5047 2.5047 8.3955
O 0.9026 0.9026 1.8879
O 0.9282 0.9282 4.8339
O 1.1192 1.1192 8.4358
O 1.3854 3.6239 3.4228
O 1.5765 3.4328 9.8470
O 1.6021 3.4073 6.9009
O 3.4073 1.6021 6.9009
O 3.4328 1.5765 9.8470
O 3.6239 1.3854 3.4228
O 3.8901 3.8901 8.4358
O 4.0812 4.0812 4.8339
O 4.1067 4.1067 1.8879
```